[1]
Entry from the Alexandria database: an optimized crystal structure of Ca3PmCd8 (PBE).

Values from the calculation:
energy relative to the lowest polymorph listed for this composition: 0 meV/atom
ΔE_f: -0.3157 eV per atom
space group: P3m1
DFT total energy: -21.86 eV per cell

Lattice parameters (Å, degrees): 6.0740 6.0740 9.5739 90.00 90.00 120.00
Element x y z (fractional)
Ca 0.0000 0.0000 0.0000
Ca 0.0000 0.0000 0.3827
Ca 0.3333 0.6667 0.8778
Pm 0.3333 0.6667 0.4989
Cd 0.0087 0.5044 0.1914
Cd 0.3260 0.1630 0.6895
Cd 0.4956 0.5044 0.1914
Cd 0.4956 0.9913 0.1914
Cd 0.6667 0.3333 0.4409
Cd 0.6667 0.3333 0.9421
Cd 0.8370 0.1630 0.6895
Cd 0.8370 0.6740 0.6895

[2]
Entry from the Alexandria database: an optimized crystal structure of CaPm3Cd8 (PBE).

Values from the calculation:
ΔE_f: -0.2980 eV per atom
space group: P3m1
DFT total energy: -27.15 eV per cell

Lattice parameters (Å, degrees): 6.0562 6.0562 9.5554 90.00 90.00 120.00
Element x y z (fractional)
Ca 0.0000 0.0000 0.0000
Pm 0.0000 0.0000 0.3840
Pm 0.6667 0.3333 0.4936
Pm 0.6667 0.3333 0.8738
Cd 0.1631 0.3262 0.6871
Cd 0.1631 0.8369 0.6871
Cd 0.3333 0.6667 0.4352
Cd 0.3333 0.6667 0.9363
Cd 0.5039 0.0079 0.1875
Cd 0.5039 0.4961 0.1875
Cd 0.6738 0.8369 0.6871
Cd 0.9921 0.4961 0.1875

[3]
Entry from the Alexandria database: an optimized crystal structure of Ca3Pm2Cd3 (PBE).

Values from the calculation:
ΔE_f: -0.2446 eV per atom
space group: Immm
DFT total energy: -20.21 eV per cell

Lattice parameters (Å, degrees): 11.9904 11.9904 11.9904 161.71 153.38 32.49
Element x y z (fractional)
Ca 0.0000 0.0000 0.0000
Ca 0.3801 0.8801 0.5000
Ca 0.6199 0.1199 0.5000
Pm 0.2327 0.2327 0.0000
Pm 0.7673 0.7673 0.0000
Cd 0.1188 0.6188 0.5000
Cd 0.5000 0.5000 0.0000
Cd 0.8812 0.3812 0.5000

[4]
Entry from the Alexandria database: an optimized crystal structure of Ca2PmCd2 (PBE).

Values from the calculation:
energy relative to the lowest polymorph listed for this composition: 100 meV/atom
ΔE_f: -0.1311 eV per atom
space group: P2_1/m
DFT total energy: -22.48 eV per cell

Lattice parameters (Å, degrees): 5.8922 3.7139 14.4147 90.00 94.20 90.00
Element x y z (fractional)
Ca 0.1652 0.2500 0.1182
Ca 0.2547 0.7500 0.5277
Ca 0.7453 0.2500 0.4723
Ca 0.8348 0.7500 0.8818
Pm 0.3108 0.2500 0.7516
Pm 0.6892 0.7500 0.2484
Cd 0.2206 0.2500 0.3384
Cd 0.3446 0.7500 0.9416
Cd 0.6554 0.2500 0.0584
Cd 0.7794 0.7500 0.6616

[5]
Entry from the Alexandria database: an optimized crystal structure of CaPmCd2 (PBE).

Values from the calculation:
energy relative to the lowest polymorph listed for this composition: 5 meV/atom
ΔE_f: -0.3580 eV per atom
space group: P4/mmm
DFT total energy: -10.01 eV per cell

Lattice parameters (Å, degrees): 5.4287 5.4287 3.8197 90.00 90.00 90.00
Element x y z (fractional)
Ca 0.0000 0.0000 0.0000
Pm 0.5000 0.5000 0.0000
Cd 0.0000 0.5000 0.5000
Cd 0.5000 0.0000 0.5000

[6]
Entry from the Alexandria database: an optimized crystal structure of Ca2Pm2Cd15 (PBE).

Values from the calculation:
ΔE_f: -0.1365 eV per atom
space group: R-3m
DFT total energy: -29.82 eV per cell

Lattice parameters (Å, degrees): 8.0217 8.0217 8.0217 77.61 77.61 77.61
Element x y z (fractional)
Ca 0.1749 0.1749 0.1749
Ca 0.8251 0.8251 0.8251
Pm 0.4118 0.4118 0.4118
Pm 0.5881 0.5881 0.5881
Cd 0.0000 0.5000 0.5000
Cd 0.1337 0.1337 0.6491
Cd 0.1337 0.6491 0.1337
Cd 0.1956 0.5000 0.8044
Cd 0.1956 0.8044 0.5000
Cd 0.3509 0.8663 0.8663
Cd 0.5000 0.0000 0.5000
Cd 0.5000 0.1956 0.8044
Cd 0.5000 0.5000 0.0000
Cd 0.5000 0.8044 0.1956
Cd 0.6491 0.1337 0.1337
Cd 0.8044 0.1956 0.5000
Cd 0.8044 0.5000 0.1956
Cd 0.8663 0.3509 0.8663
Cd 0.8663 0.8663 0.3509

[7]
Entry from the Alexandria database: an optimized crystal structure of Ca3PmCd8 (PBE).

Values from the calculation:
energy relative to the lowest polymorph listed for this composition: 11 meV/atom
ΔE_f: -0.3049 eV per atom
space group: R3m
DFT total energy: -21.74 eV per cell

Lattice parameters (Å, degrees): 10.4178 10.4178 10.4178 33.53 33.53 33.53
Element x y z (fractional)
Ca 0.0000 0.0000 0.0000
Ca 0.1259 0.1259 0.1259
Ca 0.5007 0.5007 0.5007
Pm 0.6250 0.6250 0.6250
Cd 0.0622 0.5629 0.5629
Cd 0.0635 0.0635 0.5627
Cd 0.0635 0.5627 0.0635
Cd 0.3128 0.3128 0.3128
Cd 0.5629 0.0622 0.5629
Cd 0.5627 0.0635 0.0635
Cd 0.5629 0.5629 0.0622
Cd 0.8128 0.8128 0.8128

[8]
Entry from the Alexandria database: an optimized crystal structure of CaPm5Cd6 (PBE).

Values from the calculation:
ΔE_f: -0.3290 eV per atom
space group: Cmmm
DFT total energy: -35.19 eV per cell

Lattice parameters (Å, degrees): 8.5547 8.5547 7.6820 90.00 90.00 143.09
Element x y z (fractional)
Ca 0.0000 0.0000 0.0000
Pm 0.0000 0.0000 0.5000
Pm 0.3326 0.6674 0.5000
Pm 0.3349 0.6651 0.0000
Pm 0.6651 0.3349 0.0000
Pm 0.6674 0.3326 0.5000
Cd 0.1668 0.8332 0.2491
Cd 0.1668 0.8332 0.7509
Cd 0.5000 0.5000 0.2512
Cd 0.5000 0.5000 0.7488
Cd 0.8332 0.1668 0.2491
Cd 0.8332 0.1668 0.7509

Number 1: total moment 0.00 μB per cell. Number 2: total moment 0.00 μB per cell. Number 3: total moment 0.00 μB per cell. Number 4: total moment 0.00 μB per cell. Number 5: total moment 0.00 μB per cell. Number 6: total moment 0.00 μB per cell. Number 7: total moment 0.00 μB per cell. Number 8: total moment 1.31 μB per cell.